Entry 1:
# Cs2Hg2S

A relaxed structure of Cs2Hg2S (PBE, the Alexandria database).

Cell lengths 7.206, 7.206, 9.416 Å; angles 90.00, 90.00, 90.00 degrees
Fractional coordinates of all 10 atoms:
Cs 0.000 0.500 0.250
Cs 0.000 0.500 0.750
Cs 0.500 0.000 0.250
Cs 0.500 0.000 0.750
Hg 0.000 0.000 0.199
Hg 0.000 0.000 0.801
Hg 0.500 0.500 0.301
Hg 0.500 0.500 0.699
S 0.000 0.000 0.500
S 0.500 0.500 0.000

V	488.9	Å³ per cell
M_tot	0.0	μB per cell
excess energy over the best structure of this formula in the dataset	0.35	kJ per mole of atoms
theoretical density	4.75	g cm⁻³
E_form (uncorrected)	-0.376	eV/atom
total DFT energy (no corrections)	-16.64	eV per cell



Entry 2:
# Al2ReSb

A relaxed structure of Al2ReSb (PBE, the Alexandria database).

Cell lengths 3.372, 4.262, 5.264 Å; angles 90.00, 108.45, 90.00 degrees
Fractional coordinates of all 4 atoms:
Al 0.000 0.000 0.000
Al 0.425 0.500 0.850
Re 0.139 0.500 0.278
Sb 0.733 0.000 0.470

V	71.8	Å³ per cell
M_tot	0.0	μB per cell
theoretical density	8.38	g cm⁻³
E_form (uncorrected)	0.121	eV/atom
total DFT energy (no corrections)	-23.57	eV per cell



Entry 3:
# Rb2HRh

A relaxed structure of Rb2HRh (PBE, the Alexandria database).

Cell lengths 11.619, 11.619, 3.569 Å; angles 90.00, 90.00, 90.00 degrees
Fractional coordinates of all 16 atoms:
Rb 0.048 0.750 0.125
Rb 0.250 0.048 0.875
Rb 0.250 0.452 0.375
Rb 0.452 0.750 0.625
Rb 0.548 0.250 0.625
Rb 0.750 0.548 0.375
Rb 0.750 0.952 0.875
Rb 0.952 0.250 0.125
H 0.000 0.000 0.000
H 0.000 0.500 0.250
H 0.500 0.000 0.750
H 0.500 0.500 0.500
Rh 0.000 0.000 0.500
Rh 0.000 0.500 0.750
Rh 0.500 0.000 0.250
Rh 0.500 0.500 0.000

V	481.8	Å³ per cell
M_tot	0.0	μB per cell
excess energy over the best structure of this formula in the dataset	0.00	kJ per mole of atoms
theoretical density	3.79	g cm⁻³
total DFT energy (no corrections)	-47.12	eV per cell



Entry 4:
# Sr4BiPb

A relaxed structure of Sr4BiPb (PBE, the Alexandria database).

Cell lengths 9.268, 9.268, 7.582 Å; angles 108.42, 108.42, 109.93 degrees
Fractional coordinates of all 12 atoms:
Sr 0.057 0.696 0.897
Sr 0.241 0.365 0.730
Sr 0.304 0.943 0.603
Sr 0.365 0.241 0.230
Sr 0.635 0.759 0.770
Sr 0.696 0.057 0.397
Sr 0.759 0.635 0.270
Sr 0.943 0.304 0.103
Bi 0.364 0.636 0.250
Bi 0.636 0.364 0.750
Pb 0.002 0.998 0.250
Pb 0.998 0.002 0.750

V	511.1	Å³ per cell
M_tot	0.0	μB per cell
theoretical density	4.98	g cm⁻³
total DFT energy (no corrections)	-35.54	eV per cell



What did the fourth record say?
# Sr4BiPb

A relaxed structure of Sr4BiPb (PBE, the Alexandria database).

Cell lengths 9.268, 9.268, 7.582 Å; angles 108.42, 108.42, 109.93 degrees
Fractional coordinates of all 12 atoms:
Sr 0.057 0.696 0.897
Sr 0.241 0.365 0.730
Sr 0.304 0.943 0.603
Sr 0.365 0.241 0.230
Sr 0.635 0.759 0.770
Sr 0.696 0.057 0.397
Sr 0.759 0.635 0.270
Sr 0.943 0.304 0.103
Bi 0.364 0.636 0.250
Bi 0.636 0.364 0.750
Pb 0.002 0.998 0.250
Pb 0.998 0.002 0.750

V	511.1	Å³ per cell
M_tot	0.0	μB per cell
theoretical density	4.98	g cm⁻³
total DFT energy (no corrections)	-35.54	eV per cell



Copy entry 2 word for word.
# Al2ReSb

A relaxed structure of Al2ReSb (PBE, the Alexandria database).

Cell lengths 3.372, 4.262, 5.264 Å; angles 90.00, 108.45, 90.00 degrees
Fractional coordinates of all 4 atoms:
Al 0.000 0.000 0.000
Al 0.425 0.500 0.850
Re 0.139 0.500 0.278
Sb 0.733 0.000 0.470

V	71.8	Å³ per cell
M_tot	0.0	μB per cell
theoretical density	8.38	g cm⁻³
E_form (uncorrected)	0.121	eV/atom
total DFT energy (no corrections)	-23.57	eV per cell



Question: What is the total DFT energy (no corrections) in the third record?
Answer: -47.12 eV per cell



Question: What is the theoretical density in the first record?
Answer: 4.75 g cm⁻³